Record 1
Below is a relaxed SrZrZn2 crystal, with properties calculated at the PBE-GGA level.

Output
Space group   R-3m, No. 166

a b c (Å): 9.240 9.240 9.240
angles (deg): 22.38 22.38 22.38
Fractional coordinates of all 4 atoms:
Zr 0.250 0.250 0.250
Zn 0.990 0.990 0.990
Sr 0.750 0.750 0.750
Zn 0.510 0.510 0.510

Record 2
Below is a relaxed YMn2 crystal, with properties calculated at the PBE-GGA level.

Output
Space group   I4/mcm, No. 140

a b c (Å): 5.946 5.946 5.946
angles (deg): 131.45 131.45 71.11
Last column: magnetic moment on the atom in μB.
Fractional coordinates of all 6 atoms:
Mn 0.327 0.827 0.154  2.61
Mn 0.827 0.673 0.500  2.61
Y 0.250 0.250 0.000  -0.24
Mn 0.673 0.173 0.846  2.61
Mn 0.173 0.327 0.500  2.61
Y 0.750 0.750 0.000  -0.24

| no. | total moment (μB/cell) | DFT formation energy (kJ/mol of formula units) |
| --- | --- | --- |
| 1 | 0.00 | 54 |
| 2 | 10.02 | 112 |